[1]
{
  "formula": "TaBe2Te",
  "functional": "PBE-GGA",
  "state": "relaxed",
  "sg": "P4/mmm",
  "lattice": [[-1.557, -2.810, 1.194], [2.927, -0.994, 1.480], [-1.342, 2.619, 4.413]],
  "species": ["Ta", "Be", "Be", "Te"],
  "fractional_positions": [[0.500, 0.500, 0.250], [0.000, 0.000, 0.450], [0.000, 0.000, 0.050], [0.500, 0.500, 0.750]]
}

[2]
{
  "formula": "Ta2BeTe",
  "functional": "PBE-GGA",
  "state": "relaxed",
  "sg": "Fm-3m",
  "e_above_lowest_polymorph_ev_per_atom": 0.366,
  "lattice": [[0.000, 3.242, 3.242], [3.242, 0.000, 3.242], [3.242, 3.242, 0.000]],
  "species": ["Te", "Ta", "Ta", "Be"],
  "fractional_positions": [[0.500, 0.500, 0.500], [0.250, 0.250, 0.250], [0.750, 0.750, 0.750], [0.000, 0.000, 0.000]]
}

[3]
{
  "formula": "TaBe2Te",
  "functional": "PBE-GGA",
  "state": "relaxed",
  "sg": "Cmmm",
  "lattice": [[4.779, -0.003, -0.019], [3.314, 3.443, -0.019], [0.017, 0.007, 4.280]],
  "species": ["Be", "Be", "Te", "Ta"],
  "fractional_positions": [[0.048, 0.048, 0.750], [0.452, 0.452, 0.750], [0.250, 0.250, 0.250], [0.750, 0.750, 0.750]]
}

[4]
{
  "formula": "Ta2BeTe",
  "functional": "PBE-GGA",
  "state": "relaxed",
  "sg": "F-43m",
  "e_above_lowest_polymorph_ev_per_atom": 0.501,
  "lattice": [[-3.988, -2.326, -0.116], [-0.548, -3.497, -2.966], [-0.186, -4.343, 1.559]],
  "species": ["Be", "Ta", "Ta", "Te"],
  "fractional_positions": [[0.500, 0.500, 0.500], [0.000, 0.000, 0.000], [0.250, 0.250, 0.250], [0.750, 0.750, 0.750]]
}

[5]
{
  "formula": "TaBeTe4",
  "functional": "PBE-GGA",
  "state": "relaxed",
  "sg": "F-43m",
  "lattice": [[0.000, 4.356, 4.356], [4.356, 0.000, 4.356], [4.356, 4.356, 0.000]],
  "species": ["Te", "Te", "Te", "Te", "Be", "Ta"],
  "fractional_positions": [[0.876, 0.375, 0.375], [0.375, 0.375, 0.375], [0.375, 0.375, 0.876], [0.375, 0.876, 0.375], [0.750, 0.750, 0.750], [0.000, 0.000, 0.000]]
}

[6]
{
  "formula": "Ta4BeTe",
  "functional": "PBE-GGA",
  "state": "relaxed",
  "sg": "F-43m",
  "lattice": [[0.000, 3.898, 3.898], [3.898, 0.000, 3.898], [3.898, 3.898, 0.000]],
  "species": ["Ta", "Ta", "Ta", "Ta", "Te", "Be"],
  "fractional_positions": [[0.373, 0.373, 0.373], [0.880, 0.373, 0.373], [0.373, 0.373, 0.880], [0.373, 0.880, 0.373], [0.750, 0.750, 0.750], [0.000, 0.000, 0.000]]
}

[7]
{
  "formula": "Ta2BeTe",
  "functional": "PBE-GGA",
  "state": "relaxed",
  "sg": "Immm",
  "e_above_lowest_polymorph_ev_per_atom": 0.123,
  "lattice": [[-2.293, 3.855, 2.162], [-1.852, -1.702, 4.297], [4.437, 0.437, -2.216]],
  "species": ["Te", "Be", "Ta", "Ta"],
  "fractional_positions": [[0.750, 0.250, 0.500], [0.250, 0.750, 0.500], [0.467, 0.467, 0.000], [0.033, 0.033, 0.000]]
}

[8]
{
  "formula": "TaBe2Te",
  "functional": "PBE-GGA",
  "state": "relaxed",
  "sg": "F-43m",
  "lattice": [[-2.590, 3.551, 1.078], [-2.544, -0.108, 3.741], [1.080, 2.595, 3.546]],
  "species": ["Be", "Be", "Ta", "Te"],
  "fractional_positions": [[0.000, 0.000, 0.000], [0.250, 0.250, 0.250], [0.500, 0.500, 0.500], [0.750, 0.750, 0.750]]
}

| no. | E (eV/atom) | formation energy from raw total energies (meV per atom) | density (g cm⁻³) |
| --- | --- | --- | --- |
| 1 | -5.2974 | 314 | 8.7 |
| 2 | -7.1548 | 489 | 12.1 |
| 3 | -5.1664 | 445 | 7.7 |
| 4 | -7.0198 | 624 | 11.9 |
| 5 | -3.2839 | 1407 | 7.0 |
| 6 | -8.3030 | 743 | 12.1 |
| 7 | -7.3983 | 245 | 12.2 |
| 8 | -4.7461 | 866 | 8.3 |